VASP calculation (GGA+U) on an optimized crystal structure of SrLiVF6.

Values from the calculation:
total magnetization = 2.000 Bohr magnetons per cell
VASP energy = -5.754 eV/atom
N(E_F) = 0.00 states/eV/atom

a = 5.300 Å, b = 5.300 Å, c = 5.277 Å
α = 90.04°, β = 90.04°, γ = 119.87°
Sites, in units of the cell vectors:
Sr (0.000, 0.000, 0.000)
Li (0.333, 0.667, 0.500)
V (0.666, 0.334, 0.500)
F (0.369, 0.015, 0.711)
F (0.369, 0.355, 0.289)
F (0.644, 0.015, 0.288)
F (0.645, 0.631, 0.711)
F (0.985, 0.356, 0.712)
F (0.985, 0.631, 0.289)

VASP calculation (GGA+U) on an optimized crystal structure of SrLiVF6.

Values from the calculation:
total magnetization = 4.000 Bohr magnetons per cell
VASP energy = -5.754 eV/atom
N(E_F) = 0.00 states/eV/atom

a = 5.310 Å, b = 5.310 Å, c = 10.536 Å
α = 90.00°, β = 90.00°, γ = 120.00°
Sites, in units of the cell vectors:
Sr (0.000, 0.000, 0.000)
Sr (0.000, 0.000, 0.500)
Li (0.333, 0.667, 0.250)
Li (0.667, 0.333, 0.750)
V (0.333, 0.667, 0.750)
V (0.667, 0.333, 0.250)
F (0.015, 0.370, 0.856)
F (0.015, 0.645, 0.644)
F (0.355, 0.370, 0.644)
F (0.355, 0.985, 0.856)
F (0.370, 0.015, 0.356)
F (0.370, 0.355, 0.144)
F (0.630, 0.645, 0.856)
F (0.630, 0.985, 0.644)
F (0.645, 0.015, 0.144)
F (0.645, 0.630, 0.356)
F (0.985, 0.355, 0.356)
F (0.985, 0.630, 0.144)

VASP calculation (GGA+U) on an optimized crystal structure of Sr2Li3VF12.

Values from the calculation:
total magnetization = 0.264 Bohr magnetons per cell
VASP energy = -5.093 eV/atom

a = 6.941 Å, b = 6.941 Å, c = 6.941 Å
α = 64.29°, β = 64.29°, γ = 64.29°
Sites, in units of the cell vectors:
Sr (0.158, 0.158, 0.158)
Sr (0.842, 0.842, 0.842)
Li (0.000, 0.500, 0.500)
Li (0.500, 0.000, 0.500)
Li (0.500, 0.500, 0.000)
V (0.500, 0.500, 0.500)
F (0.118, 0.118, 0.549)
F (0.118, 0.549, 0.118)
F (0.208, 0.553, 0.553)
F (0.447, 0.447, 0.792)
F (0.447, 0.792, 0.447)
F (0.451, 0.882, 0.882)
F (0.549, 0.118, 0.118)
F (0.553, 0.208, 0.553)
F (0.553, 0.553, 0.208)
F (0.792, 0.447, 0.447)
F (0.882, 0.451, 0.882)
F (0.882, 0.882, 0.451)

VASP calculation (GGA+U) on an optimized crystal structure of SrLi2VF8.

Values from the calculation:
total magnetization = 1.000 Bohr magnetons per cell
VASP energy = -5.407 eV/atom
N(E_F) = 0.00 states/eV/atom

a = 4.810 Å, b = 4.852 Å, c = 7.106 Å
α = 89.78°, β = 89.78°, γ = 80.69°
Sites, in units of the cell vectors:
Sr (0.000, 0.000, 0.000)
Li (0.499, 0.499, 0.204)
Li (0.501, 0.501, 0.796)
V (0.000, 0.000, 0.500)
F (0.208, 0.788, 0.300)
F (0.208, 0.789, 0.700)
F (0.248, 0.241, 0.498)
F (0.329, 0.320, 0.000)
F (0.671, 0.680, 0.000)
F (0.752, 0.759, 0.502)
F (0.792, 0.211, 0.300)
F (0.792, 0.212, 0.700)

VASP calculation (GGA+U) on an optimized crystal structure of SrLiWF2.

Values from the calculation:
total magnetization = 5.175 Bohr magnetons per cell
VASP energy = -4.046 eV/atom
N(E_F) = 0.10 states/eV/atom

a = 4.551 Å, b = 4.551 Å, c = 8.096 Å
α = 90.00°, β = 90.00°, γ = 90.00°
Sites, in units of the cell vectors:
Sr (0.000, 0.000, 0.000)
Li (0.000, 0.000, 0.500)
W (0.500, 0.500, 0.500)
F (0.000, 0.500, 0.000)
F (0.500, 0.000, 0.000)

VASP calculation (GGA+U) on an optimized crystal structure of SrLi2WF8.

Values from the calculation:
total magnetization = 2.000 Bohr magnetons per cell
VASP energy = -5.376 eV/atom
N(E_F) = 0.00 states/eV/atom

a = 4.652 Å, b = 5.053 Å, c = 7.366 Å
α = 84.45°, β = 85.52°, γ = 82.05°
Sites, in units of the cell vectors:
Sr (0.000, 0.000, 0.000)
Li (0.469, 0.463, 0.204)
Li (0.531, 0.537, 0.796)
W (0.000, 0.000, 0.500)
F (0.184, 0.775, 0.723)
F (0.191, 0.778, 0.299)
F (0.297, 0.247, 0.456)
F (0.366, 0.292, 0.996)
F (0.634, 0.708, 0.004)
F (0.703, 0.753, 0.544)
F (0.809, 0.222, 0.701)
F (0.816, 0.225, 0.277)